one) DFT (PBE) results for a geometry-optimized DyHo7Sc4 structure.

- crystal system = triclinic
- N(E_F) (states/eV per cell) = 16.747
- magnetization (μB/atom) = 0.000

a b c (Å): 6.9334 9.1748 8.5169
angles (deg): 81.04 89.94 40.91
Atoms (fractional coordinates):
Dy (0.0000, 0.0000, 0.0000)
Ho (0.7514, 0.5029, 0.0046)
Ho (0.2486, 0.4971, 0.9954)
Ho (0.9719, 0.2836, 0.6607)
Ho (0.0281, 0.7164, 0.3393)
Ho (0.2232, 0.7769, 0.6635)
Ho (0.5000, 0.0000, 0.0000)
Ho (0.7768, 0.2231, 0.3365)
Sc (0.5303, 0.7245, 0.3377)
Sc (0.4697, 0.2755, 0.6623)
Sc (0.7164, 0.7833, 0.6602)
Sc (0.2836, 0.2167, 0.3398)

=====

two) DFT (PBE) results for a geometry-optimized DyHo7Sc4 structure.

- crystal system = monoclinic
- N(E_F) (states/eV per cell) = 19.861
- magnetization (μB/atom) = 0.039

a b c (Å): 5.7070 9.0043 8.2288
angles (deg): 65.73 69.71 71.52
Each line ends with the local moment (μB).
Atoms (fractional coordinates):
Dy (0.0000, 0.0000, 0.0000)  0.18
Ho (0.7916, 0.8816, 0.5352)  0.01
Ho (0.2084, 0.1184, 0.4648)  0.01
Ho (0.0879, 0.5546, 0.2696)  0.01
Ho (0.9121, 0.4454, 0.7304)  0.01
Ho (0.2423, 0.7230, 0.7925)  0.01
Ho (0.5000, 0.0000, 0.0000)  0.19
Ho (0.7577, 0.2770, 0.2075)  0.01
Sc (0.5543, 0.2975, 0.5938)  0.00
Sc (0.4457, 0.7025, 0.4062)  0.00
Sc (0.6678, 0.6522, 0.0123)  0.02
Sc (0.3322, 0.3478, 0.9877)  0.02

=====

Least stable = two)